DFT (meta-GGA SCAN) results for SrTePC2 at its PBEsol-relaxed geometry.

Values from the calculation:
Formation energy from raw total energies in eV/atom: 1.931
SG: No. 123
Size of the total moment in μB per cell: 0.99
Total energy in eV/atom: -16.09

a b c (Å): 4.2532 4.2532 6.3123
angles (deg): 90.00 90.00 90.00
Positions (direct):
Sr  0.0000  0.0000  0.0000
Te  0.0000  0.0000  0.5000
P  0.5000  0.5000  0.0000
C  0.0000  0.5000  0.5000
C  0.5000  0.0000  0.5000

DFT (meta-GGA SCAN) results for Ta2PC2 at its PBEsol-relaxed geometry.

Values from the calculation:
SG: No. 127
Size of the total moment in μB per cell: 0.00
Total energy in eV/atom: -32.34

a b c (Å): 6.0877 6.0877 2.9961
angles (deg): 90.00 90.00 90.00
Positions (direct):
Ta  0.1632  0.3368  0.0000
Ta  0.3368  0.8368  0.0000
Ta  0.6632  0.1632  0.0000
Ta  0.8368  0.6632  0.0000
P  0.0000  0.0000  0.5000
P  0.5000  0.5000  0.5000
C  0.1351  0.6351  0.5000
C  0.3649  0.1351  0.5000
C  0.6351  0.8649  0.5000
C  0.8649  0.3649  0.5000

DFT (meta-GGA SCAN) results for Ta2PC at its PBEsol-relaxed geometry.

Values from the calculation:
SG: No. 225
Size of the total moment in μB per cell: 0.00
Total energy in eV/atom: -38.23

a b c (Å): 4.1657 4.1657 4.1657
angles (deg): 60.00 60.00 60.00
Positions (direct):
Ta  0.2500  0.2500  0.2500
Ta  0.7500  0.7500  0.7500
P  0.0000  0.0000  0.0000
C  0.5000  0.5000  0.5000

DFT (meta-GGA SCAN) results for TePC3 at its PBEsol-relaxed geometry.

Values from the calculation:
Formation energy from raw total energies in eV/atom: 2.100
SG: No. 221
Size of the total moment in μB per cell: 0.01
Total energy in eV/atom: -13.49

a b c (Å): 3.7507 3.7507 3.7507
angles (deg): 90.00 90.00 90.00
Positions (direct):
Te  0.0000  0.0000  0.0000
P  0.5000  0.5000  0.5000
C  0.0000  0.5000  0.5000
C  0.5000  0.0000  0.5000
C  0.5000  0.5000  0.0000

DFT (meta-GGA SCAN) results for TiTe2PC at its PBEsol-relaxed geometry.

Values from the calculation:
Formation energy from raw total energies in eV/atom: 0.753
SG: No. 123
Size of the total moment in μB per cell: 2.01
Total energy in eV/atom: -21.45

a b c (Å): 5.2901 5.2901 3.4307
angles (deg): 90.00 90.00 90.00
Positions (direct):
Ti  0.0000  0.0000  0.0000
Te  0.0000  0.5000  0.5000
Te  0.5000  0.0000  0.5000
P  0.5000  0.5000  0.5000
C  0.5000  0.5000  0.0000

DFT (meta-GGA SCAN) results for Ti3PC at its PBEsol-relaxed geometry.

Values from the calculation:
SG: No. 221
Size of the total moment in μB per cell: 0.00
Total energy in eV/atom: -14.30

a b c (Å): 4.0677 4.0677 4.0677
angles (deg): 90.00 90.00 90.00
Positions (direct):
Ti  0.0000  0.0000  0.5000
Ti  0.0000  0.5000  0.0000
Ti  0.5000  0.0000  0.0000
P  0.5000  0.5000  0.5000
C  0.0000  0.0000  0.0000

DFT (meta-GGA SCAN) results for V18P9C2 at its PBEsol-relaxed geometry.

Values from the calculation:
SG: No. 51
Size of the total moment in μB per cell: 0.00
Total energy in eV/atom: -15.65

a b c (Å): 16.8905 3.1519 12.9061
angles (deg): 90.00 90.00 90.00
Positions (direct):
V  0.0000  0.0000  0.0000
V  0.0000  0.5000  0.5000
V  0.0019  0.0000  0.3390
V  0.0583  0.5000  0.1536
V  0.1223  0.5000  0.9279
V  0.1329  0.0000  0.4982
V  0.1621  0.0000  0.7405
V  0.1698  0.0000  0.2552
V  0.2500  0.0000  0.9376
V  0.2500  0.5000  0.1000
V  0.2500  0.5000  0.4028
V  0.2500  0.5000  0.6066
V  0.3302  0.0000  0.2552
V  0.3379  0.0000  0.7405
V  0.3671  0.0000  0.4982
V  0.3777  0.5000  0.9279
V  0.4417  0.5000  0.1536
V  0.4981  0.0000  0.3390
V  0.5000  0.0000  0.0000
V  0.5000  0.5000  0.5000
V  0.5019  0.0000  0.6610
V  0.5583  0.5000  0.8464
V  0.6223  0.5000  0.0721
V  0.6329  0.0000  0.5018
V  0.6621  0.0000  0.2595
V  0.6698  0.0000  0.7448
V  0.7500  0.0000  0.0624
V  0.7500  0.5000  0.3934
V  0.7500  0.5000  0.5972
V  0.7500  0.5000  0.9000
V  0.8302  0.0000  0.7448
V  0.8379  0.0000  0.2595
V  0.8671  0.0000  0.5018
V  0.8777  0.5000  0.0721
V  0.9417  0.5000  0.8464
V  0.9981  0.0000  0.6610
P  0.0460  0.0000  0.8287
P  0.1025  0.5000  0.3620
P  0.1029  0.5000  0.6306
P  0.1424  0.0000  0.0662
P  0.2500  0.5000  0.8078
P  0.3576  0.0000  0.0662
P  0.3971  0.5000  0.6306
P  0.3975  0.5000  0.3620
P  0.4540  0.0000  0.8287
P  0.5460  0.0000  0.1713
P  0.6025  0.5000  0.6380
P  0.6029  0.5000  0.3694
P  0.6424  0.0000  0.9338
P  0.7500  0.5000  0.1922
P  0.8576  0.0000  0.9338
P  0.8971  0.5000  0.3694
P  0.8975  0.5000  0.6380
P  0.9540  0.0000  0.1713
C  0.2500  0.0000  0.5046
C  0.2500  0.5000  0.2500
C  0.7500  0.0000  0.4954
C  0.7500  0.5000  0.7500

DFT (meta-GGA SCAN) results for V3PC at its PBEsol-relaxed geometry.

Values from the calculation:
SG: No. 63
Size of the total moment in μB per cell: 0.00
Total energy in eV/atom: -15.37

a b c (Å): 5.0139 5.0139 7.4629
angles (deg): 90.00 90.00 144.15
Positions (direct):
V  0.0647  0.9353  0.7500
V  0.3651  0.6349  0.5542
V  0.3651  0.6349  0.9458
V  0.6349  0.3651  0.0542
V  0.6349  0.3651  0.4458
V  0.9353  0.0647  0.2500
P  0.2523  0.7477  0.2500
P  0.7477  0.2523  0.7500
C  0.0000  0.0000  0.0000
C  0.0000  0.0000  0.5000

- size of the total moment of number 6 (Ti3PC)?
  0.00 μB per cell

- Which value of total energy does entry 7 give?
  -15.65 eV/atom

Repeat the fifth record exactly.
DFT (meta-GGA SCAN) results for TiTe2PC at its PBEsol-relaxed geometry.

Values from the calculation:
Formation energy from raw total energies in eV/atom: 0.753
SG: No. 123
Size of the total moment in μB per cell: 2.01
Total energy in eV/atom: -21.45

a b c (Å): 5.2901 5.2901 3.4307
angles (deg): 90.00 90.00 90.00
Positions (direct):
Ti  0.0000  0.0000  0.0000
Te  0.0000  0.5000  0.5000
Te  0.5000  0.0000  0.5000
P  0.5000  0.5000  0.5000
C  0.5000  0.5000  0.0000